Record 1
Computed, not measured: a relaxed Al2CuPt crystal at the PBE-GGA level of DFT.

The structure belongs to space group P4mm (No. 99); the cell edges are 2.8298, 2.8298 and 7.3464 Å and the angles 90.00°, 90.00° and 90.00°. The distinct sites, in fractional coordinates, are Al at (0.0000, 0.0000, 0.0000), Al at (0.5000, 0.5000, 0.2840), Cu at (0.0000, 0.0000, 0.5136) and Pt at (0.5000, 0.5000, 0.7726).

For the density, the calculation gives 8.82 g/cm³. As for the crystal system: tetragonal. For the calculated formation energy, the calculation gives -0.366 eV per atom. The total moment is 0.00 μB/cell.

Record 2
Computed, not measured: a relaxed CsSmBr4 crystal at the PBE-GGA level of DFT.

The structure belongs to space group C2/m (No. 12); the cell edges are 16.3777, 7.9010 and 7.6558 Å and the angles 90.00°, 95.19° and 90.00°. The distinct sites, in fractional coordinates, are Cs at (0.2066, 0.0000, 0.2499), Sm at (0.0314, 0.5000, 0.2797), Br at (0.0000, 0.2518, 0.0000), Br at (0.1010, 0.2803, 0.5757) and Br at (0.1938, 0.5000, 0.1826).

For the density, the calculation gives 4.06 g/cm³. As for the crystal system: monoclinic. The total moment is 0.00 μB/cell. The calculation puts the energy relative to the elements, uncorrected at -1.83 eV/atom.

Record 3
Computed, not measured: a relaxed Sm2ZnCuO5 crystal at the PBE-GGA level of DFT.

The structure belongs to space group P4/mbm (No. 127); the cell edges are 6.6432, 6.6432 and 5.6936 Å and the angles 90.00°, 90.00° and 90.00°. The distinct sites, in fractional coordinates, are Sm at (0.1730, 0.3270, 0.0000), Zn at (0.0000, 0.5000, 0.5000), Cu at (0.0000, 0.0000, 0.5000), O at (0.0000, 0.0000, 0.0000) and O at (0.1391, 0.6391, 0.2516).

For the density, the calculation gives 6.74 g/cm³. As for the crystal system: tetragonal. The total moment is 2.05 μB/cell. The calculation puts the energy relative to the elements, uncorrected at -1.88 eV/atom.

Record 4
Computed, not measured: a relaxed PmNd5Dy8 crystal at the PBE-GGA level of DFT.

The structure belongs to space group C2/m (No. 12); the cell edges are 17.4492, 3.5608 and 16.9048 Å and the angles 90.00°, 118.15° and 90.00°. The distinct sites, in fractional coordinates, are Pm at (0.0000, 0.0000, 0.0000), Nd at (0.0000, 0.5000, 0.5000), Nd at (0.1450, 0.0000, 0.4406), Nd at (0.2132, 0.0000, 0.1435), Dy at (0.0784, 0.5000, 0.2228), Dy at (0.0815, 0.0000, 0.7236), Dy at (0.1467, 0.5000, 0.9394) and Dy at (0.2162, 0.5000, 0.6462).

For the density, the calculation gives 7.77 g/cm³. As for the crystal system: monoclinic. For the calculated formation energy, the calculation gives 0.044 eV per atom. The total moment is 0.00 μB/cell.

Record 5
Computed, not measured: a relaxed Zr2TlSn crystal at the PBE-GGA level of DFT.

The structure belongs to space group I-42d (No. 122); the cell edges are 7.9482, 7.9482 and 6.2525 Å and the angles 90.00°, 90.00° and 90.00°. The distinct sites, in fractional coordinates, are Zr at (0.2473, 0.2500, 0.1250), Tl at (0.0000, 0.0000, 0.5000) and Sn at (0.0000, 0.0000, 0.0000).

For the density, the calculation gives 8.50 g/cm³. As for the crystal system: tetragonal. For the calculated formation energy, the calculation gives -0.030 eV per atom. The total moment is 0.00 μB/cell.

Record 6
Computed, not measured: a relaxed Ti3As crystal at the PBE-GGA level of DFT.

The structure belongs to space group P4_2/n (No. 86, origin choice 2); the cell edges are 10.1631, 10.1631 and 5.1099 Å and the angles 90.00°, 90.00° and 90.00°. The distinct sites, in fractional coordinates, are Ti at (0.0347, 0.9327, 0.2451), Ti at (0.1071, 0.2774, 0.0371), Ti at (0.1457, 0.8317, 0.7131) and As at (0.0441, 0.2907, 0.5389).

For the density, the calculation gives 5.50 g/cm³. As for the crystal system: tetragonal. For the calculated formation energy, the calculation gives -0.664 eV per atom. The total moment is 0.00 μB/cell.

Record 7
Computed, not measured: a relaxed MgInSb2 crystal at the PBE-GGA level of DFT.

The structure belongs to space group Cm (No. 8); the cell edges are 12.2299, 4.2819 and 4.4560 Å and the angles 90.00°, 110.83° and 90.00°. The distinct sites, in fractional coordinates, are Mg at (0.0000, 0.0000, 0.0000), In at (0.2388, 0.5000, 0.0271), Sb at (0.2509, 0.0000, 0.5294) and Sb at (0.4880, 0.0000, 0.4962).

For the density, the calculation gives 5.83 g/cm³. As for the crystal system: monoclinic. The total moment is 0.00 μB/cell. The calculation puts the energy relative to the elements, uncorrected at -0.07 eV/atom.

Record 8
Computed, not measured: a relaxed PrNd2Cu crystal at the PBE-GGA level of DFT.

The structure belongs to space group R-3m (No. 166, hexagonal axes); the cell edges are 3.7156, 3.7156 and 30.7442 Å and the angles 90.00°, 90.00° and 120.00°. The distinct sites, in fractional coordinates, are Pr at (0.0000, 0.0000, 0.0000), Nd at (0.0000, 0.0000, 0.2340) and Cu at (0.0000, 0.0000, 0.5000).

For the density, the calculation gives 6.68 g/cm³. As for the crystal system: trigonal. For the calculated formation energy, the calculation gives 0.053 eV per atom. The total moment is 0.00 μB/cell.

Record 9
Computed, not measured: a relaxed PmMg10Cd2 crystal at the PBE-GGA level of DFT.

The structure belongs to space group Fmmm (No. 69); the cell edges are 5.9730, 14.2443 and 14.3372 Å and the angles 90.00°, 90.00° and 90.00°. The distinct sites, in fractional coordinates, are Pm at (0.0000, 0.0000, 0.0000), Mg at (0.0000, 0.1076, 0.3948), Mg at (0.0000, 0.1767, 0.1734), Mg at (0.2500, 0.0000, 0.2500) and Cd at (0.2500, 0.2500, 0.0000).

For the density, the calculation gives 3.34 g/cm³. As for the crystal system: orthorhombic. For the calculated formation energy, the calculation gives -0.091 eV per atom. The total moment is 0.00 μB/cell.

Record 10
Computed, not measured: a relaxed Ac4Ge3 crystal at the PBE-GGA level of DFT.

The structure belongs to space group I-43d (No. 220); the cell edges are 9.7824, 9.7824 and 9.7824 Å and the angles 90.00°, 90.00° and 90.00°. The distinct sites, in fractional coordinates, are Ac at (0.0642, 0.0642, 0.0642) and Ge at (0.0000, 0.2500, 0.3750).

For the density, the calculation gives 7.99 g/cm³. As for the crystal system: cubic. For the calculated formation energy, the calculation gives -0.710 eV per atom. The total moment is 0.00 μB/cell.

Record 11
Computed, not measured: a relaxed ThBeIr crystal at the PBE-GGA level of DFT.

The structure belongs to space group Cmcm (No. 63); the cell edges are 4.1559, 7.0185 and 7.8794 Å and the angles 90.00°, 90.00° and 90.00°. The distinct sites, in fractional coordinates, are Th at (0.0000, 0.0000, 0.0000), Be at (0.0000, 0.3360, 0.2500) and Ir at (0.0000, 0.3270, 0.7500).

For the density, the calculation gives 12.52 g/cm³. As for the crystal system: orthorhombic. For the calculated formation energy, the calculation gives -0.670 eV per atom. The total moment is 0.00 μB/cell.

Record 12
Computed, not measured: a relaxed NaHfTe2Br crystal at the PBE-GGA level of DFT.

The structure belongs to space group P4/mmm (No. 123); the cell edges are 5.2523, 5.2523 and 5.7361 Å and the angles 90.00°, 90.00° and 90.00°. The distinct sites, in fractional coordinates, are Na at (0.0000, 0.0000, 0.0000), Hf at (0.0000, 0.0000, 0.5000), Te at (0.0000, 0.5000, 0.0000) and Br at (0.5000, 0.5000, 0.5000).

For the density, the calculation gives 5.63 g/cm³. As for the crystal system: tetragonal. The total moment is 1.08 μB/cell. The calculation puts the energy relative to the elements, uncorrected at 0.85 eV/atom.

Record 13
Computed, not measured: a relaxed MgSbBr2 crystal at the PBE-GGA level of DFT.

The structure belongs to space group R-3m (No. 166, hexagonal axes); the cell edges are 3.6190, 3.6190 and 42.7009 Å and the angles 90.00°, 90.00° and 120.00°. The distinct sites, in fractional coordinates, are Mg at (0.0000, 0.0000, 0.0000), Sb at (0.0000, 0.0000, 0.5000) and Br at (0.0000, 0.0000, 0.2958).

For the density, the calculation gives 3.15 g/cm³. As for the crystal system: trigonal. The total moment is 0.75 μB/cell. The calculation puts the energy relative to the elements, uncorrected at -0.75 eV/atom.

Record 14
Computed, not measured: a relaxed SmDyEr2Sc crystal at the PBE-GGA level of DFT.

The structure belongs to space group Cmcm (No. 63); the cell edges are 8.1488, 11.1860 and 7.0570 Å and the angles 90.00°, 90.00° and 90.00°. The distinct sites, in fractional coordinates, are Sm at (0.0000, 0.2313, 0.2500), Dy at (0.0000, 0.2311, 0.7500), Er at (0.1966, 0.0000, 0.0000) and Sc at (0.0000, 0.4982, 0.2500).

For the density, the calculation gives 7.15 g/cm³. As for the crystal system: orthorhombic. For the calculated formation energy, the calculation gives 0.337 eV per atom. The total moment is 0.00 μB/cell.

Record 15
Computed, not measured: a relaxed GaW2IBr crystal at the PBE-GGA level of DFT.

The structure belongs to space group P4/mmm (No. 123); the cell edges are 5.0679, 5.0679 and 5.4460 Å and the angles 90.00°, 90.00° and 90.00°. The distinct sites, in fractional coordinates, are Ga at (0.0000, 0.0000, 0.0000), W at (0.0000, 0.5000, 0.0000), I at (0.0000, 0.0000, 0.5000) and Br at (0.5000, 0.5000, 0.5000).

For the density, the calculation gives 7.65 g/cm³. As for the crystal system: tetragonal. The total moment is 6.78 μB/cell. The calculation puts the energy relative to the elements, uncorrected at 2.10 eV/atom.

Record 16
Computed, not measured: a relaxed LiCeMg2Zn4 crystal at the PBE-GGA level of DFT.

The structure belongs to space group R-3m (No. 166, hexagonal axes); the cell edges are 4.6451, 4.6451 and 24.6137 Å and the angles 90.00°, 90.00° and 120.00°. The distinct sites, in fractional coordinates, are Li at (0.0000, 0.0000, 0.0000), Ce at (0.0000, 0.0000, 0.5000), Mg at (0.0000, 0.0000, 0.2551), Zn at (0.0000, 0.0000, 0.1101) and Zn at (0.0000, 0.0000, 0.3719).

For the density, the calculation gives 4.95 g/cm³. As for the crystal system: trigonal. For the calculated formation energy, the calculation gives -0.156 eV per atom. The total moment is 2.03 μB/cell.

Record 17
Computed, not measured: a relaxed Cs3CN4 crystal at the PBE-GGA level of DFT.

The structure belongs to space group Cmmm (No. 65); the cell edges are 8.9688, 9.6900 and 5.8943 Å and the angles 90.00°, 90.00° and 90.00°. The distinct sites, in fractional coordinates, are Cs at (0.0000, 0.0000, 0.0000), Cs at (0.2500, 0.2500, 0.5000), C at (0.0000, 0.5000, 0.0000), N at (0.0000, 0.0609, 0.5000) and N at (0.1400, 0.5000, 0.0000).

For the density, the calculation gives 3.03 g/cm³. As for the crystal system: orthorhombic. The total moment is 2.26 μB/cell. The calculation puts the energy relative to the elements, uncorrected at -0.13 eV/atom.

Record 18
Computed, not measured: a relaxed LiPaGe2O7 crystal at the PBE-GGA level of DFT.

The structure belongs to space group P4/mmm (No. 123); the cell edges are 3.5403, 3.5403 and 10.9957 Å and the angles 90.00°, 90.00° and 90.00°. The distinct sites, in fractional coordinates, are Li at (0.0000, 0.0000, 0.0000), Pa at (0.0000, 0.0000, 0.5000), Ge at (0.5000, 0.5000, 0.2716), O at (0.0000, 0.5000, 0.3432), O at (0.5000, 0.5000, 0.1183) and O at (0.5000, 0.5000, 0.5000).

For the density, the calculation gives 5.97 g/cm³. As for the crystal system: tetragonal. The total moment is 0.00 μB/cell. The calculation puts the energy relative to the elements, uncorrected at -1.96 eV/atom.

Record 19
Computed, not measured: a relaxed KTiReRh2 crystal at the PBE-GGA level of DFT.

The structure belongs to space group P4/mmm (No. 123); the cell edges are 4.7359, 4.7359 and 5.1202 Å and the angles 90.00°, 90.00° and 90.00°. The distinct sites, in fractional coordinates, are K at (0.0000, 0.0000, 0.0000), Ti at (0.5000, 0.5000, 0.0000), Re at (0.0000, 0.0000, 0.5000) and Rh at (0.0000, 0.5000, 0.5000).

For the density, the calculation gives 6.93 g/cm³. As for the crystal system: tetragonal. For the calculated formation energy, the calculation gives 1.656 eV per atom. The total moment is 0.00 μB/cell.

Record 20
Computed, not measured: a relaxed AlSi2Ru crystal at the PBE-GGA level of DFT.

The structure belongs to space group I-4m2 (No. 119); the cell edges are 3.7694, 3.7694 and 7.6261 Å and the angles 90.00°, 90.00° and 90.00°. The distinct sites, in fractional coordinates, are Al at (0.0000, 0.0000, 0.0000), Si at (0.0000, 0.0000, 0.5000), Si at (0.0000, 0.5000, 0.2500) and Ru at (0.0000, 0.5000, 0.7500).

For the density, the calculation gives 5.65 g/cm³. As for the crystal system: tetragonal. The total moment is 0.00 μB/cell. The calculation puts the energy relative to the elements, uncorrected at -0.06 eV/atom.